Compound: NaB2AsRh
Source: the Alexandria database
Functional: PBE
Structure: relaxed

Computed properties:
As for the total energy: -21.97 eV per cell. The density of states at the Fermi level comes out at 3.68 states/eV/cell. The crystal system is tetragonal.

Cell lengths 4.0426, 5.4527, 4.0426 Å; angles 90.00, 90.00, 90.00 degrees
With the nearest neighbours (Å) after each atom.
Fractional positions:
B  0.5000  0.0000  0.0000  2 Rh 2.02
Rh  0.0000  0.0000  0.0000  4 B 2.02
As  0.5000  0.5000  0.5000  4 Na 2.86
Na  0.0000  0.5000  0.0000  2 Rh 2.73, 4 As 2.86
B  0.0000  0.0000  0.5000  2 Rh 2.02


Compound: NaB2AsRu
Source: the Alexandria database
Functional: PBE
Structure: relaxed

Computed properties:
As for the total energy: -22.88 eV per cell. The density of states at the Fermi level comes out at 4.69 states/eV/cell. The crystal system is tetragonal.

Cell lengths 4.0245, 5.5369, 4.0245 Å; angles 90.00, 90.00, 90.00 degrees
With the nearest neighbours (Å) after each atom.
Fractional positions:
B  0.0000  0.0000  0.5000  2 Ru 2.01
As  0.5000  0.5000  0.5000  4 Na 2.85
Ru  0.0000  0.0000  0.0000  4 B 2.01
B  0.5000  0.0000  0.0000  2 Ru 2.01
Na  0.0000  0.5000  0.0000  2 Ru 2.77, 4 As 2.85


Compound: NaBAs2Se
Source: the Alexandria database
Functional: PBE
Structure: relaxed

Computed properties:
The distance to the lowest polymorph of the same formula is 0.00 kcal/mol of atoms. The density of states at the Fermi level comes out at 2.82 states/eV/cell. The uncorrected formation energy is 0.46 eV/atom. The crystal system is tetragonal.

Cell lengths 4.3178, 4.3178, 5.2951 Å; angles 90.00, 90.00, 90.00 degrees
With the nearest neighbours (Å) after each atom.
Fractional positions:
As  0.5000  0.0000  0.0000  2 B 2.16
B  0.0000  0.0000  0.0000  4 As 2.16
As  0.0000  0.5000  0.0000  2 B 2.16
Na  0.5000  0.5000  0.5000  4 Se 3.05, 8 As 3.42
Se  0.0000  0.0000  0.5000  2 B 2.65


Compound: Na2BAsSe4
Source: the Alexandria database
Functional: PBE
Structure: relaxed

Computed properties:
The uncorrected formation energy is -0.48 eV/atom. The crystal system is triclinic.

Cell lengths 6.5467, 7.4803, 5.8969 Å; angles 122.10, 116.07, 100.46 degrees
With the nearest neighbours (Å) after each atom.
Fractional positions:
As  0.9282  0.4298  0.8554  4 Se 2.51-2.71
Na  0.2416  0.2384  0.4818  5 Se 3.06-3.40
Na  0.4209  0.9209  0.8443  6 Se 2.84-3.13
Se  0.0764  0.1046  0.8132  1 B 2.06
Se  0.7357  0.7070  0.8112  1 B 2.06
Se  0.4159  0.7649  0.2357  1 B 2.13
B  0.7520  0.7517  0.5022  4 Se 2.06-2.13
Se  0.8164  0.4699  0.2305  1 B 2.13


Compound: NaBAsSe2
Source: the Alexandria database
Functional: PBE
Structure: relaxed

Computed properties:
The distance to the lowest polymorph of the same formula is 30.90 kcal/mol of atoms. The density of states at the Fermi level comes out at 5.70 states/eV/cell. The uncorrected formation energy is 1.65 eV/atom. The crystal system is tetragonal.

Cell lengths 5.1510, 5.1510, 4.9699 Å; angles 90.00, 90.00, 90.00 degrees
With the nearest neighbours (Å) after each atom.
Fractional positions:
B  0.5000  0.5000  0.5000  8 Se 3.58, 4 As 3.64
Na  0.0000  0.0000  0.0000  2 As 2.48, 4 Se 2.58
As  0.0000  0.0000  0.5000  2 Na 2.48
Se  0.0000  0.5000  0.0000  2 Na 2.58
Se  0.5000  0.0000  0.0000  2 Na 2.58


Compound: NaBAsSe2
Source: the Alexandria database
Functional: PBE
Structure: relaxed

Computed properties:
The distance to the lowest polymorph of the same formula is 0.00 kcal/mol of atoms. The density of states at the Fermi level comes out at 1.87 states/eV/cell. The uncorrected formation energy is 0.31 eV/atom. The crystal system is tetragonal.

Cell lengths 4.8918, 4.8918, 4.1094 Å; angles 90.00, 90.00, 90.00 degrees
With the nearest neighbours (Å) after each atom.
Fractional positions:
Se  0.5000  0.0000  0.0000  2 B 2.45
As  0.0000  0.0000  0.5000  2 B 2.05
Se  0.0000  0.5000  0.0000  2 B 2.45
B  0.0000  0.0000  0.0000  2 As 2.05
Na  0.5000  0.5000  0.5000  8 Se 3.19, 4 As 3.46


Compound: NaBAs2Se
Source: the Alexandria database
Functional: PBE
Structure: relaxed

Computed properties:
The distance to the lowest polymorph of the same formula is 30.58 kcal/mol of atoms. The density of states at the Fermi level comes out at 4.35 states/eV/cell. The uncorrected formation energy is 1.79 eV/atom. The crystal system is tetragonal.

Cell lengths 5.0239, 5.0239, 5.0720 Å; angles 90.00, 90.00, 90.00 degrees
With the nearest neighbours (Å) after each atom.
Fractional positions:
Se  0.0000  0.0000  0.5000  2 Na 2.54
As  0.5000  0.0000  0.0000  2 Na 2.51
Na  0.0000  0.0000  0.0000  4 As 2.51, 2 Se 2.54
As  0.0000  0.5000  0.0000  2 Na 2.51
B  0.5000  0.5000  0.5000  4 Se 3.55, 8 As 3.57


Compound: NaSiB2As
Source: the Alexandria database
Functional: PBE
Structure: relaxed

Computed properties:
The density of states at the Fermi level comes out at 3.15 states/eV/cell. The uncorrected formation energy is 1.57 eV/atom. The crystal system is tetragonal.

Cell lengths 4.1443, 5.2487, 4.1443 Å; angles 90.00, 90.00, 90.00 degrees
With the nearest neighbours (Å) after each atom.
Fractional positions:
As  0.0000  0.0000  0.0000  4 B 2.07
B  0.0000  0.0000  0.5000  2 As 2.07
Si  0.5000  0.5000  0.5000  4 Na 2.93
Na  0.0000  0.5000  0.0000  2 As 2.62, 4 Si 2.93
B  0.5000  0.0000  0.0000  2 As 2.07


Compound: NaBTeAs2
Source: the Alexandria database
Functional: PBE
Structure: relaxed

Computed properties:
The density of states at the Fermi level comes out at 3.88 states/eV/cell. The uncorrected formation energy is 1.51 eV/atom. The crystal system is tetragonal.

Cell lengths 5.1455, 4.4736, 5.1455 Å; angles 90.00, 90.00, 90.00 degrees
With the nearest neighbours (Å) after each atom.
Fractional positions:
B  0.0000  0.5000  0.0000  2 Na 2.24
Te  0.5000  0.5000  0.5000  8 As 3.41, 4 B 3.64
As  0.0000  0.0000  0.5000  2 Na 2.57
As  0.5000  0.0000  0.0000  2 Na 2.57
Na  0.0000  0.0000  0.0000  2 B 2.24


Compound: NaZnB2As
Source: the Alexandria database
Functional: PBE
Structure: relaxed

Computed properties:
As for the total energy: -14.48 eV per cell. The density of states at the Fermi level comes out at 2.81 states/eV/cell. The crystal system is tetragonal.

Cell lengths 4.0663, 5.3140, 4.0663 Å; angles 90.00, 90.00, 90.00 degrees
With the nearest neighbours (Å) after each atom.
Fractional positions:
B  0.5000  0.0000  0.0000  2 Zn 2.03
Zn  0.0000  0.0000  0.0000  4 B 2.03
B  0.0000  0.0000  0.5000  2 Zn 2.03
As  0.0000  0.5000  0.0000  2 Zn 2.66, 4 Na 2.88
Na  0.5000  0.5000  0.5000  4 As 2.88


Compound: NbBAs2
Source: the Alexandria database
Functional: PBE
Structure: relaxed

Computed properties:
As for the total energy: -49.63 eV per cell. The density of states at the Fermi level comes out at 8.02 states/eV/cell. The crystal system is tetragonal.

Cell lengths 5.8881, 5.8881, 5.8129 Å; angles 59.57, 59.57, 90.00 degrees
With the nearest neighbours (Å) after each atom.
Fractional positions:
As  0.8750  0.7992  0.7500  2 B 2.06
B  0.2500  0.7500  0.5000  4 As 2.06
As  0.3750  0.4508  0.7500  2 B 2.06
Nb  0.0000  0.0000  0.0000  4 As 2.62
As  0.2008  0.6250  0.2500  2 B 2.06
Nb  0.7500  0.2500  0.5000  4 As 2.62
B  0.5000  0.5000  0.0000  4 As 2.06
As  0.5492  0.1250  0.2500  2 B 2.06


Compound: NbB2As2
Source: the Alexandria database
Functional: PBE
Structure: relaxed

Computed properties:
The distance to the lowest polymorph of the same formula is 0.07 kcal/mol of atoms. The density of states at the Fermi level comes out at 4.19 states/eV/cell. The crystal system is tetragonal.

Cell lengths 6.7696, 6.7696, 3.2377 Å; angles 90.00, 90.00, 90.00 degrees
With the nearest neighbours (Å) after each atom.
Fractional positions:
B  0.7535  0.2535  0.5000  2 As 2.00
As  0.3693  0.8693  0.0000  2 B 2.00
As  0.6307  0.1307  0.0000  2 B 2.00
B  0.2465  0.7465  0.5000  2 As 2.00
B  0.2535  0.2465  0.5000  2 As 2.00
B  0.7465  0.7535  0.5000  2 As 2.00
Nb  0.5000  0.5000  0.0000  4 As 2.65, 8 B 2.89
Nb  0.0000  0.0000  0.0000  4 As 2.65, 8 B 2.89
As  0.1307  0.3693  0.0000  2 B 2.00
As  0.8693  0.6307  0.0000  2 B 2.00


Compound: Nb2BAs
Source: the Alexandria database
Functional: PBE
Structure: relaxed

Computed properties:
The distance to the lowest polymorph of the same formula is 14.36 kcal/mol of atoms. The density of states at the Fermi level comes out at 3.71 states/eV/cell. The crystal system is cubic.

Cell lengths 4.3527, 4.3527, 4.3527 Å; angles 60.00, 60.00, 60.00 degrees
With the nearest neighbours (Å) after each atom.
Fractional positions:
As  0.5000  0.5000  0.5000  8 Nb 2.67
B  0.0000  0.0000  0.0000  8 Nb 2.67
Nb  0.7500  0.7500  0.7500  4 As 2.67, 4 B 2.67
Nb  0.2500  0.2500  0.2500  4 As 2.67, 4 B 2.67


Compound: Nb2BAs
Source: the Alexandria database
Functional: PBE
Structure: relaxed

Computed properties:
The distance to the lowest polymorph of the same formula is 19.69 kcal/mol of atoms. The density of states at the Fermi level comes out at 5.25 states/eV/cell. The crystal system is tetragonal.

Cell lengths 5.4041, 5.4041, 6.5902 Å; angles 65.79, 65.79, 90.00 degrees
With the nearest neighbours (Å) after each atom.
Fractional positions:
As  0.7500  0.2500  0.5000  4 Nb 2.56
Nb  0.3750  0.4421  0.7500  2 B 2.15
B  0.2500  0.7500  0.5000  4 Nb 2.15
As  0.0000  0.0000  0.0000  4 Nb 2.56
Nb  0.1921  0.6250  0.2500  2 B 2.15
B  0.5000  0.5000  0.0000  4 Nb 2.15
Nb  0.5579  0.1250  0.2500  2 B 2.15
Nb  0.8750  0.8079  0.7500  2 B 2.15


Compound: NbB2As
Source: the Alexandria database
Functional: PBE
Structure: relaxed

Computed properties:
As for the total energy: -51.41 eV per cell. The density of states at the Fermi level comes out at 4.70 states/eV/cell. The crystal system is tetragonal.

Cell lengths 5.3893, 5.3893, 5.5130 Å; angles 60.74, 60.74, 90.00 degrees
With the nearest neighbours (Å) after each atom.
Fractional positions:
As  0.5000  0.5000  0.0000  4 B 2.06
Nb  0.0000  0.0000  0.0000  4 B 2.25
Nb  0.7500  0.2500  0.5000  4 B 2.25
B  0.5976  0.1250  0.2500  2 As 2.06, 2 Nb 2.25
B  0.1524  0.6250  0.2500  2 As 2.06, 2 Nb 2.25
B  0.8750  0.8476  0.7500  2 As 2.06, 2 Nb 2.25
B  0.3750  0.4024  0.7500  2 As 2.06, 2 Nb 2.25
As  0.2500  0.7500  0.5000  4 B 2.06


Compound: NbB2As2
Source: the Alexandria database
Functional: PBE
Structure: relaxed

Computed properties:
The distance to the lowest polymorph of the same formula is 0.00 kcal/mol of atoms. The density of states at the Fermi level comes out at 2.74 states/eV/cell. The crystal system is tetragonal.

Cell lengths 2.8538, 2.8538, 8.6277 Å; angles 80.48, 80.48, 90.00 degrees
With the nearest neighbours (Å) after each atom.
Fractional positions:
B  0.7500  0.2500  0.5000  4 B 2.02
As  0.3793  0.3793  0.2414  4 B 2.60, 4 As 2.85, 4 Nb 2.86
B  0.2500  0.7500  0.5000  4 B 2.02
Nb  0.0000  0.0000  0.0000  4 Nb 2.85, 8 As 2.86
As  0.6207  0.6207  0.7586  4 B 2.60, 4 As 2.85, 4 Nb 2.86


Compound: Nb3BAs
Source: the Alexandria database
Functional: PBE
Structure: relaxed

Computed properties:
The distance to the lowest polymorph of the same formula is 0.00 kcal/mol of atoms. The density of states at the Fermi level comes out at 5.64 states/eV/cell. The crystal system is cubic.

Cell lengths 4.3487, 4.3487, 4.3487 Å; angles 90.00, 90.00, 90.00 degrees
With the nearest neighbours (Å) after each atom.
Fractional positions:
Nb  0.5000  0.0000  0.0000  2 B 2.17
Nb  0.0000  0.5000  0.0000  2 B 2.17
As  0.5000  0.5000  0.5000  12 Nb 3.08
Nb  0.0000  0.0000  0.5000  2 B 2.17
B  0.0000  0.0000  0.0000  6 Nb 2.17


Compound: Nb4BAs
Source: the Alexandria database
Functional: PBE
Structure: relaxed

Computed properties:
As for the total energy: -106.70 eV per cell. The density of states at the Fermi level comes out at 6.40 states/eV/cell. The crystal system is monoclinic.

Cell lengths 6.1685, 5.6017, 7.0395 Å; angles 105.74, 108.85, 106.79 degrees
With the nearest neighbours (Å) after each atom.
Fractional positions:
B  0.9360  0.1860  0.3719  6 Nb 2.22-2.30
Nb  0.3348  0.2121  0.9304  1 B 2.30
Nb  0.7143  0.4316  0.3979  2 B 2.22-2.25
Nb  0.0957  0.7183  0.9304  1 B 2.30
Nb  0.1836  0.9663  0.3979  2 B 2.22-2.25
B  0.0640  0.8140  0.6281  6 Nb 2.22-2.30
Nb  0.8164  0.0337  0.6021  2 B 2.22-2.25
As  0.3839  0.6339  0.2678  8 Nb 2.64-2.72
Nb  0.6652  0.7879  0.0696  1 B 2.30
Nb  0.2857  0.5684  0.6021  2 B 2.22-2.25
As  0.6161  0.3661  0.7322  8 Nb 2.64-2.72
Nb  0.9043  0.2817  0.0696  1 B 2.30


Compound: Nb2BAs
Source: the Alexandria database
Functional: PBE
Structure: relaxed

Computed properties:
The distance to the lowest polymorph of the same formula is 0.00 kcal/mol of atoms. The density of states at the Fermi level comes out at 1.75 states/eV/cell. The crystal system is trigonal.

Cell lengths 3.4024, 3.4024, 6.3931 Å; angles 74.57, 74.57, 60.00 degrees
With the nearest neighbours (Å) after each atom.
Fractional positions:
Nb  0.7325  0.7325  0.8024  3 B 2.30
As  0.5000  0.5000  0.5000  6 Nb 2.69
B  0.0000  0.0000  0.0000  6 Nb 2.30
Nb  0.2675  0.2675  0.1976  3 B 2.30


Compound: NbNiBAs2
Source: the Alexandria database
Functional: PBE
Structure: relaxed

Computed properties:
As for the total energy: -29.72 eV per cell. The density of states at the Fermi level comes out at 5.09 states/eV/cell. The crystal system is tetragonal.

Cell lengths 4.4692, 3.6974, 4.4692 Å; angles 90.00, 90.00, 90.00 degrees
With the nearest neighbours (Å) after each atom.
Fractional positions:
As  0.5000  0.0000  0.0000  2 B 2.23
Nb  0.5000  0.5000  0.5000  8 As 2.90, 4 Ni 3.16
B  0.0000  0.0000  0.0000  2 Ni 1.85
Ni  0.0000  0.5000  0.0000  2 B 1.85
As  0.0000  0.0000  0.5000  2 B 2.23


The records above yield M_tot values of 0.99; 0.78; 0.00; 0.00; 0.00; 0.00; 0.00; 0.00; 0.00; 0.00; 0.46; 0.00; 0.00; 0.00; 0.00; 0.00; 0.00; 0.00; 0.00; 0.00 Bohr magnetons per cell, respectively.